Record 1
An optimized crystal structure of BeSbMoAs. Source: OQMD via LeMat-Bulk, functional PBE.

Results
uncorrected energy: -5.27 eV/atom
energy above the most stable polymorph in this dataset: 0.0000 eV/atom
symmetry: F-43m (216)

a = 4.560 Å, b = 4.560 Å, c = 4.560 Å
α = 60.00°, β = 60.00°, γ = 60.00°
Element x y z (fractional)
Be 0.000 0.000 0.000
Sb 0.250 0.250 0.250
Mo 0.500 0.500 0.500
As 0.750 0.750 0.750

***

Record 2
An optimized crystal structure of TlCo2S2. Source: OQMD via LeMat-Bulk, functional PBE.

Results
uncorrected energy: -5.29 eV/atom
symmetry: I4/mmm (139)

a = 6.977 Å, b = 6.977 Å, c = 6.977 Å
α = 148.97°, β = 148.97°, γ = 44.45°
Element x y z (fractional)
Tl 0.000 0.000 0.000
Co 0.250 0.750 0.500
Co 0.750 0.250 0.500
S 0.342 0.342 0.000
S 0.658 0.658 0.000